Record 1
Ce2DySn9: relaxed, PBE.

The structure belongs to space group P4/mmm (No. 123); the cell edges are 4.721, 4.721 and 14.106 Å and the angles 90.00°, 90.00° and 90.00°. Symmetry generates all atoms from Ce at (0.000, 0.000, 0.165), Dy at (0.000, 0.000, 0.500), Sn at (0.000, 0.500, 0.000), Sn at (0.000, 0.500, 0.334), Sn at (0.500, 0.500, 0.167) and Sn at (0.500, 0.500, 0.500).

For the calculated total energy, the calculation gives -4.87 eV per atom.

---

Record 2
Ce3DySn5: relaxed, PBE.

The structure belongs to space group P6_3/mcm (No. 193); the cell edges are 9.4297, 9.4297 and 6.4697 Å and the angles 90.00°, 90.00° and 120.00°. Symmetry generates all atoms from Ce at (0.0000, 0.3828, 0.2500), Dy at (0.0000, 0.0000, 0.0000), Sn at (0.0000, 0.2835, 0.7500) and Sn at (0.3333, 0.6667, 0.0000).

For the calculated total energy, the calculation gives -5.33 eV per atom.

---

Record 3
Ce2DySn2: relaxed, PBE.

The structure belongs to space group C2/m (No. 12); the cell edges are 10.027, 4.567 and 7.899 Å and the angles 90.00°, 129.38° and 90.00°. Symmetry generates all atoms from Ce at (0.072, 0.000, 0.401), Dy at (0.000, 0.500, 0.000) and Sn at (0.215, 0.500, 0.795).

For the calculated total energy, the calculation gives -5.46 eV per atom.

---

Record 4
CeDySn2: relaxed, PBE.

The structure belongs to space group P4/mmm (No. 123); the cell edges are 3.466, 3.466 and 8.974 Å and the angles 90.00°, 90.00° and 90.00°. Symmetry generates all atoms from Ce at (0.000, 0.000, 0.000), Dy at (0.000, 0.000, 0.500) and Sn at (0.500, 0.500, 0.256).

For the calculated total energy, the calculation gives -5.24 eV per atom.

---

Number 1: DFT formation energy -0.4971 eV/atom, total magnetic moment 0.9 μB/f.u.. Number 2: DFT formation energy -0.6179 eV/atom, total magnetic moment 1.0 μB/f.u.. Number 3: DFT formation energy -0.5602 eV/atom, total magnetic moment 1.3 μB/f.u.. Number 4: DFT formation energy -0.6053 eV/atom, total magnetic moment 1.0 μB/f.u..